[1]
{"formula": "Ti2HgCl", "functional": "PBE", "state": "relaxed", "de_polymorph_ev_per_atom": 0.139, "magmom_total_mub_per_fu": 0.00, "e_form_raw_ev_per_atom": 0.2259, "lattice": [[-4.1160, -2.1599, -1.7637], [2.7681, -3.5442, -2.1196], [-1.1666, -6.8597, 4.1160]], "species": ["Ti", "Ti", "Ti", "Ti", "Cl", "Cl", "Hg", "Hg"], "frac_coords": [[0.5447, 0.1250, 0.2500], [0.8750, 0.7947, 0.7500], [0.2053, 0.6250, 0.2500], [0.3750, 0.4553, 0.7500], [0.2500, 0.7500, 0.5000], [0.5000, 0.5000, 0.0000], [0.7500, 0.2500, 0.5000], [0.0000, 0.0000, 0.0000]]}

[2]
{"formula": "Mn3Mo", "functional": "PBE", "state": "relaxed", "e_form_kcal_per_mol_atoms": 4.0, "magmom_total_mub_per_fu": 2.90, "lattice": [[4.6388, 0.0000, 0.0000], [0.0000, 4.6388, 0.0000], [0.0000, 0.0000, 4.6388]], "species": ["Mo", "Mo", "Mn", "Mn", "Mn", "Mn", "Mn", "Mn"], "frac_coords": [[0.5000, 0.5000, 0.5000], [0.0000, 0.0000, 0.0000], [0.0000, 0.7500, 0.5000], [0.0000, 0.2500, 0.5000], [0.5000, 0.0000, 0.2500], [0.2500, 0.5000, 0.0000], [0.7500, 0.5000, 0.0000], [0.5000, 0.0000, 0.7500]]}

[3]
{"formula": "NbSbPdI2", "functional": "PBE", "state": "relaxed", "de_polymorph_ev_per_atom": 0.215, "magmom_total_mub_per_fu": 2.48, "e_form_raw_ev_per_atom": 0.8437, "lattice": [[5.3620, 0.0000, 0.0000], [0.0000, 5.3620, 0.0000], [0.0000, 0.0000, 5.2876]], "species": ["Sb", "I", "I", "Nb", "Pd"], "frac_coords": [[0.0000, 0.0000, 0.5000], [0.0000, 0.5000, 0.0000], [0.5000, 0.0000, 0.0000], [0.5000, 0.5000, 0.5000], [0.0000, 0.0000, 0.0000]]}

[4]
{"formula": "SmTh2Co6", "functional": "PBE", "state": "relaxed", "e_form_kcal_per_mol_atoms": -4.4, "magmom_total_mub_per_fu": 2.38, "lattice": [[-0.6416, -1.7347, -3.5633], [3.7150, -5.3860, 1.9531], [-6.7283, 0.1078, 1.1590]], "species": ["Co", "Co", "Co", "Co", "Co", "Co", "Th", "Th", "Sm"], "frac_coords": [[0.5000, 0.0000, 0.3346], [0.5000, 0.0000, 0.6654], [0.5000, 0.3346, 0.0000], [0.5000, 0.6654, 0.6654], [0.5000, 0.3346, 0.3346], [0.5000, 0.6654, 0.0000], [0.0000, 0.6667, 0.3333], [0.0000, 0.3333, 0.6667], [0.0000, 0.0000, 0.0000]]}

[5]
{"formula": "SmScZnGe", "functional": "PBE", "state": "relaxed", "e_form_kcal_per_mol_atoms": -11.7, "magmom_total_mub_per_fu": 0.00, "lattice": [[-2.6999, -3.1588, -2.6575], [2.2209, -3.4984, -2.6756], [-0.3213, -4.7279, 1.3686]], "species": ["Zn", "Sc", "Sm", "Ge"], "frac_coords": [[0.0000, 0.0000, 0.0000], [0.2500, 0.2500, 0.2500], [0.7500, 0.7500, 0.7500], [0.5000, 0.5000, 0.5000]]}

[6]
{"formula": "ErCdAu2", "functional": "PBE", "state": "relaxed", "e_form_kcal_per_mol_atoms": -14.1, "magmom_total_mub_per_fu": 0.00, "lattice": [[-3.0560, 0.6918, -1.7027], [0.2408, -3.1246, -1.7016], [-3.4188, -2.9520, 4.9368]], "species": ["Au", "Au", "Er", "Cd"], "frac_coords": [[0.0000, 0.0000, 0.2468], [0.0000, 0.0000, 0.7532], [0.5000, 0.5000, 0.0000], [0.5000, 0.5000, 0.5000]]}

Please write out number 1 again, unchanged.
{"formula": "Ti2HgCl", "functional": "PBE", "state": "relaxed", "de_polymorph_ev_per_atom": 0.139, "magmom_total_mub_per_fu": 0.00, "e_form_raw_ev_per_atom": 0.2259, "lattice": [[-4.1160, -2.1599, -1.7637], [2.7681, -3.5442, -2.1196], [-1.1666, -6.8597, 4.1160]], "species": ["Ti", "Ti", "Ti", "Ti", "Cl", "Cl", "Hg", "Hg"], "frac_coords": [[0.5447, 0.1250, 0.2500], [0.8750, 0.7947, 0.7500], [0.2053, 0.6250, 0.2500], [0.3750, 0.4553, 0.7500], [0.2500, 0.7500, 0.5000], [0.5000, 0.5000, 0.0000], [0.7500, 0.2500, 0.5000], [0.0000, 0.0000, 0.0000]]}